The following is a DFT calculation (PBE) of crystalline GdDyGa2Br2 at its relaxed geometry.

```
data_GdDyGa2Br2
_symmetry_space_group_name_H-M 'P 3 m 1'
_symmetry_Int_Tables_number 156
_cell_length_a 4.1389
_cell_length_b 4.1389
_cell_length_c 11.2642
_cell_angle_alpha 90.00
_cell_angle_beta 90.00
_cell_angle_gamma 120.00
loop_
_symmetry_equiv_pos_as_xyz
'x,y,z'
'-y,x-y,z'
'-x+y,-x,z'
'-y,-x,z'
'-x+y,y,z'
'x,x-y,z'
loop_
_atom_site_label
_atom_site_fract_x
_atom_site_fract_y
_atom_site_fract_z
Gd1 0.0000 0.0000 0.0000
Dy1 0.0000 0.0000 0.3641
Ga1 0.3333 0.6667 0.2130
Ga2 0.6667 0.3333 0.1533
Br1 0.3333 0.6667 0.8421
Br2 0.6667 0.3333 0.5197
```

Summary:
- calculated total energy (eV/atom) = -4.34
- crystal system = trigonal



The following is a DFT calculation (PBE) of crystalline Dy2Ga2IBr at its relaxed geometry.

```
data_Dy2Ga2IBr
_symmetry_space_group_name_H-M 'P 3 m 1'
_symmetry_Int_Tables_number 156
_cell_length_a 4.1571
_cell_length_b 4.1571
_cell_length_c 11.4957
_cell_angle_alpha 90.00
_cell_angle_beta 90.00
_cell_angle_gamma 120.00
loop_
_symmetry_equiv_pos_as_xyz
'x,y,z'
'-y,x-y,z'
'-x+y,-x,z'
'-y,-x,z'
'-x+y,y,z'
'x,x-y,z'
loop_
_atom_site_label
_atom_site_fract_x
_atom_site_fract_y
_atom_site_fract_z
Dy1 0.0000 0.0000 0.0000
Dy2 0.0000 0.0000 0.3529
Ga1 0.3333 0.6667 0.1478
Ga2 0.6667 0.3333 0.2081
I1 0.3333 0.6667 0.5276
Br1 0.6667 0.3333 0.8479
```

Summary:
- calculated total energy (eV/atom) = -4.20
- crystal system = trigonal



The following is a DFT calculation (PBE) of crystalline NdDyGa2Br2 at its relaxed geometry.

```
data_NdDyGa2Br2
_symmetry_space_group_name_H-M 'P 3 m 1'
_symmetry_Int_Tables_number 156
_cell_length_a 4.1854
_cell_length_b 4.1854
_cell_length_c 11.4031
_cell_angle_alpha 90.00
_cell_angle_beta 90.00
_cell_angle_gamma 120.00
loop_
_symmetry_equiv_pos_as_xyz
'x,y,z'
'-y,x-y,z'
'-x+y,-x,z'
'-y,-x,z'
'-x+y,y,z'
'x,x-y,z'
loop_
_atom_site_label
_atom_site_fract_x
_atom_site_fract_y
_atom_site_fract_z
Nd1 0.0000 0.0000 0.0000
Dy1 0.0000 0.0000 0.6344
Ga1 0.3333 0.6667 0.8415
Ga2 0.6667 0.3333 0.7841
Br1 0.3333 0.6667 0.4824
Br2 0.6667 0.3333 0.1618
```

Summary:
- calculated total energy (eV/atom) = -4.36
- crystal system = trigonal



The following is a DFT calculation (PBE) of crystalline PrDyGa2Br2 at its relaxed geometry.

```
data_PrDyGa2Br2
_symmetry_space_group_name_H-M 'P 3 m 1'
_symmetry_Int_Tables_number 156
_cell_length_a 4.1934
_cell_length_b 4.1934
_cell_length_c 11.4398
_cell_angle_alpha 90.00
_cell_angle_beta 90.00
_cell_angle_gamma 120.00
loop_
_symmetry_equiv_pos_as_xyz
'x,y,z'
'-y,x-y,z'
'-x+y,-x,z'
'-y,-x,z'
'-x+y,y,z'
'x,x-y,z'
loop_
_atom_site_label
_atom_site_fract_x
_atom_site_fract_y
_atom_site_fract_z
Pr1 0.0000 0.0000 0.0000
Dy1 0.0000 0.0000 0.3668
Ga1 0.3333 0.6667 0.2176
Ga2 0.6667 0.3333 0.1607
Br1 0.3333 0.6667 0.8371
Br2 0.6667 0.3333 0.5173
```

Summary:
- calculated total energy (eV/atom) = -4.37
- crystal system = trigonal



The following is a DFT calculation (PBE) of crystalline GdDyBr6 at its relaxed geometry.

```
data_GdDyBr6
_symmetry_space_group_name_H-M 'C 1 2 1'
_symmetry_Int_Tables_number 5
_cell_length_a 7.1413
_cell_length_b 12.4290
_cell_length_c 6.9760
_cell_angle_alpha 90.00
_cell_angle_beta 110.76
_cell_angle_gamma 90.00
loop_
_symmetry_equiv_pos_as_xyz
'x,y,z'
'-x,y,-z'
'x+1/2,y+1/2,z'
'-x+1/2,y+1/2,-z'
loop_
_atom_site_label
_atom_site_fract_x
_atom_site_fract_y
_atom_site_fract_z
Gd1 0.0000 0.0000 0.0000
Dy1 0.0000 0.3306 0.0000
Br1 0.2319 0.1666 0.2472
Br2 0.2374 0.3418 0.7554
Br3 0.2413 0.9871 0.7549
```

Summary:
- calculated total energy (eV/atom) = -4.29
- crystal system = monoclinic



The following is a DFT calculation (PBE) of crystalline GdDyH2Br4 at its relaxed geometry.

```
data_GdDyH2Br4
_symmetry_space_group_name_H-M 'P -6 m 2'
_symmetry_Int_Tables_number 187
_symmetry_space_group_name_Hall 'P -6 2'
_cell_length_a 3.8521
_cell_length_b 3.8521
_cell_length_c 14.8172
_cell_angle_alpha 90.00
_cell_angle_beta 90.00
_cell_angle_gamma 120.00
loop_
_atom_site_label
_atom_site_fract_x
_atom_site_fract_y
_atom_site_fract_z
Gd1 0.0000 0.0000 0.0000
Dy1 0.0000 0.0000 0.5000
H1 0.3333 0.6667 0.0000
H2 0.6667 0.3333 0.5000
Br1 0.3333 0.6667 0.3713
Br2 0.6667 0.3333 0.1300
```

Summary:
- calculated total energy (eV/atom) = -4.36
- crystal system = hexagonal



The following is a DFT calculation (PBE) of crystalline GdDyBr2N at its relaxed geometry.

```
data_GdDyBr2N
_symmetry_space_group_name_H-M 'P 3 m 1'
_symmetry_Int_Tables_number 156
_cell_length_a 3.6770
_cell_length_b 3.6770
_cell_length_c 10.4857
_cell_angle_alpha 90.00
_cell_angle_beta 90.00
_cell_angle_gamma 120.00
loop_
_symmetry_equiv_pos_as_xyz
'x,y,z'
'-y,x-y,z'
'-x+y,-x,z'
'-y,-x,z'
'-x+y,y,z'
'x,x-y,z'
loop_
_atom_site_label
_atom_site_fract_x
_atom_site_fract_y
_atom_site_fract_z
Gd1 0.0000 0.0000 0.0000
Dy1 0.3333 0.6667 0.2483
Br1 0.0000 0.0000 0.4335
Br2 0.3333 0.6667 0.8118
N1 0.6667 0.3333 0.1284
```

Summary:
- calculated total energy (eV/atom) = -5.91
- crystal system = trigonal



The following is a DFT calculation (PBE) of crystalline GdDyBr2O at its relaxed geometry.

```
data_GdDyBr2O
_symmetry_space_group_name_H-M 'P 3 m 1'
_symmetry_Int_Tables_number 156
_cell_length_a 3.6786
_cell_length_b 3.6786
_cell_length_c 10.1767
_cell_angle_alpha 90.00
_cell_angle_beta 90.00
_cell_angle_gamma 120.00
loop_
_symmetry_equiv_pos_as_xyz
'x,y,z'
'-y,x-y,z'
'-x+y,-x,z'
'-y,-x,z'
'-x+y,y,z'
'x,x-y,z'
loop_
_atom_site_label
_atom_site_fract_x
_atom_site_fract_y
_atom_site_fract_z
Gd1 0.0000 0.0000 0.0000
Dy1 0.3333 0.6667 0.2449
Br1 0.0000 0.0000 0.4339
Br2 0.3333 0.6667 0.8066
O1 0.6667 0.3333 0.1329
```

Summary:
- calculated total energy (eV/atom) = -5.61
- crystal system = trigonal



The following is a DFT calculation (PBE) of crystalline GdDyBr2O2 at its relaxed geometry.

```
data_GdDyBr2O2
_symmetry_space_group_name_H-M 'P 4 m m'
_symmetry_Int_Tables_number 99
_cell_length_a 3.8483
_cell_length_b 3.8483
_cell_length_c 8.4606
_cell_angle_alpha 90.00
_cell_angle_beta 90.00
_cell_angle_gamma 90.00
loop_
_symmetry_equiv_pos_as_xyz
'x,y,z'
'-y,x,z'
'-x,-y,z'
'y,-x,z'
'-x,y,z'
'y,x,z'
'x,-y,z'
'-y,-x,z'
loop_
_atom_site_label
_atom_site_fract_x
_atom_site_fract_y
_atom_site_fract_z
Gd1 0.0000 0.0000 0.0000
Dy1 0.5000 0.5000 0.2725
Br1 0.0000 0.0000 0.4675
Br2 0.5000 0.5000 0.8055
O1 0.0000 0.5000 0.1387
```

Summary:
- calculated total energy (eV/atom) = -6.67
- crystal system = tetragonal



The following is a DFT calculation (PBE) of crystalline GdDyPBr2 at its relaxed geometry.

```
data_GdDyPBr2
_symmetry_space_group_name_H-M 'P 3 m 1'
_symmetry_Int_Tables_number 156
_cell_length_a 4.0199
_cell_length_b 4.0199
_cell_length_c 10.8802
_cell_angle_alpha 90.00
_cell_angle_beta 90.00
_cell_angle_gamma 120.00
loop_
_symmetry_equiv_pos_as_xyz
'x,y,z'
'-y,x-y,z'
'-x+y,-x,z'
'-y,-x,z'
'-x+y,y,z'
'x,x-y,z'
loop_
_atom_site_label
_atom_site_fract_x
_atom_site_fract_y
_atom_site_fract_z
Gd1 0.0000 0.0000 0.0000
Dy1 0.3333 0.6667 0.2813
P1 0.6667 0.3333 0.1430
Br1 0.0000 0.0000 0.4484
Br2 0.3333 0.6667 0.8301
```

Summary:
- calculated total energy (eV/atom) = -5.38
- crystal system = trigonal



The following is a DFT calculation (PBE) of crystalline GdDyS2Br2 at its relaxed geometry.

```
data_GdDyS2Br2
_symmetry_space_group_name_H-M 'P m m 2'
_symmetry_Int_Tables_number 25
_cell_length_a 4.0954
_cell_length_b 5.3707
_cell_length_c 9.2070
_cell_angle_alpha 90.00
_cell_angle_beta 90.00
_cell_angle_gamma 90.00
loop_
_symmetry_equiv_pos_as_xyz
'x,y,z'
'-x,-y,z'
'-x,y,z'
'x,-y,z'
loop_
_atom_site_label
_atom_site_fract_x
_atom_site_fract_y
_atom_site_fract_z
Gd1 0.0000 0.0000 0.0000
Dy1 0.5000 0.5000 0.7435
S1 0.0000 0.5000 0.9409
S2 0.5000 0.0000 0.7982
Br1 0.0000 0.5000 0.5312
Br2 0.5000 0.0000 0.2156
```

Summary:
- calculated total energy (eV/atom) = -5.49
- crystal system = orthorhombic



The following is a DFT calculation (PBE) of crystalline Gd2Dy2SiBr5 at its relaxed geometry.

```
data_Gd2Dy2SiBr5
_symmetry_space_group_name_H-M 'C 1 2/m 1'
_symmetry_Int_Tables_number 12
_cell_length_a 18.1983
_cell_length_b 4.0587
_cell_length_c 8.4415
_cell_angle_alpha 90.00
_cell_angle_beta 102.50
_cell_angle_gamma 90.00
loop_
_symmetry_equiv_pos_as_xyz
'x,y,z'
'-x,-y,-z'
'-x,y,-z'
'x,-y,z'
'x+1/2,y+1/2,z'
'-x+1/2,-y+1/2,-z'
'-x+1/2,y+1/2,-z'
'x+1/2,-y+1/2,z'
loop_
_atom_site_label
_atom_site_fract_x
_atom_site_fract_y
_atom_site_fract_z
Gd1 0.9998 0.0000 0.2226
Dy1 0.1500 0.5000 0.0783
Si1 0.0000 0.5000 0.0000
Br1 0.0000 0.5000 0.5000
Br2 0.1672 0.0000 0.3257
Br3 0.1737 0.0000 0.8428
```

Summary:
- calculated total energy (eV/atom) = -4.70
- crystal system = monoclinic



Number 1: calculated volume 27.85 Å³/atom. Number 2: calculated volume 28.67 Å³/atom. Number 3: calculated volume 28.83 Å³/atom. Number 4: calculated volume 29.04 Å³/atom. Number 5: calculated volume 36.19 Å³/atom. Number 6: calculated volume 23.80 Å³/atom. Number 7: calculated volume 24.56 Å³/atom. Number 8: calculated volume 23.85 Å³/atom. Number 9: calculated volume 20.88 Å³/atom. Number 10: calculated volume 30.45 Å³/atom. Number 11: calculated volume 33.75 Å³/atom. Number 12: calculated volume 30.44 Å³/atom.